# Tb2CeErTm

A geometry-optimized Tb2CeErTm structure (GGA-PBE, the Alexandria database).

```
data_Tb2CeErTm
_chemical_formula_sum 'Tb4 Ce2 Er2 Tm2'
_space_group_name_H-M_alt 'P 1'
_space_group_IT_number 1
_space_group_name_Hall 'P 1'
_cell_length_a 6.2387
_cell_length_b 8.3695
_cell_length_c 6.2970
_cell_angle_alpha 90.00
_cell_angle_beta 106.30
_cell_angle_gamma 90.00
loop_
_atom_site_label
_atom_site_type_symbol
_atom_site_fract_x
_atom_site_fract_y
_atom_site_fract_z
_atom_site_occupancy
Tb1 Tb 0.2125 0.1637 0.1484 1
Tb2 Tb 0.2125 0.8363 0.6484 1
Tb3 Tb 0.7875 0.1637 0.3516 1
Tb4 Tb 0.7875 0.8363 0.8516 1
Ce1 Ce 0.5000 0.5000 0.0000 1
Ce2 Ce 0.5000 0.5000 0.5000 1
Er1 Er 0.0000 0.4251 0.7500 1
Er2 Er 0.0000 0.5749 0.2500 1
Tm1 Tm 0.5000 0.1728 0.7500 1
Tm2 Tm 0.5000 0.8272 0.2500 1
```

Its theoretical density is 8.36 g cm⁻³. The total DFT energy (no corrections) is -4.58 eV per atom. The space group is P2/c (13).